No. 1
Compound: Sc2CuB2
Source: the Open Quantum Materials Database
Functional: GGA-PBE
Structure: relaxed

Lattice parameters (Å, degrees): 6.209 6.209 3.463 90.00 90.00 150.76
Fractional positions:
1 Sc 0.135 0.865 0.000
2 Sc 0.865 0.135 0.000
3 Cu 0.500 0.500 0.500
4 B 0.281 0.719 0.500
5 B 0.719 0.281 0.500

Calculated values
**Calculated volume**: 65.2 Å³ per cell
**Final energy**: -32.2 eV for the cell shown

No. 2
Compound: ScCuB4
Source: the Open Quantum Materials Database
Functional: GGA-PBE
Structure: relaxed

Lattice parameters (Å, degrees): 3.114 3.114 6.404 90.00 90.00 120.00
Fractional positions:
1 Sc 0.000 0.000 0.000
2 Cu 0.000 0.000 0.500
3 B 0.333 0.667 0.263
4 B 0.333 0.667 0.737
5 B 0.667 0.333 0.263
6 B 0.667 0.333 0.737

Calculated values
**Calculated volume**: 53.8 Å³ per cell
**Distance to the lowest polymorph of the same formula**: 99 meV/atom

No. 3
Compound: ScCuBW
Source: the Open Quantum Materials Database
Functional: GGA-PBE
Structure: relaxed

Lattice parameters (Å, degrees): 4.251 4.251 4.251 60.00 60.00 60.00
Fractional positions:
1 Sc 0.000 0.000 0.000
2 Cu 0.750 0.750 0.750
3 B 0.500 0.500 0.500
4 W 0.250 0.250 0.250

Calculated values
**Calculated volume**: 54.3 Å³ per cell
**Distance to the lowest polymorph of the same formula**: 0 meV/atom

No. 4
Compound: YScCuB
Source: the Open Quantum Materials Database
Functional: GGA-PBE
Structure: relaxed

Lattice parameters (Å, degrees): 4.530 4.530 4.530 60.00 60.00 60.00
Fractional positions:
1 Y 0.000 0.000 0.000
2 Sc 0.250 0.250 0.250
3 Cu 0.750 0.750 0.750
4 B 0.500 0.500 0.500

Calculated values
**Calculated volume**: 65.7 Å³ per cell
**Distance to the lowest polymorph of the same formula**: 17 meV/atom

No. 5
Compound: YScCuB
Source: the Open Quantum Materials Database
Functional: GGA-PBE
Structure: relaxed

Lattice parameters (Å, degrees): 4.552 4.552 4.552 60.00 60.00 60.00
Fractional positions:
1 Y 0.000 0.000 0.000
2 Sc 0.750 0.750 0.750
3 Cu 0.500 0.500 0.500
4 B 0.250 0.250 0.250

Calculated values
**Calculated volume**: 66.7 Å³ per cell
**Distance to the lowest polymorph of the same formula**: 0 meV/atom

No. 6
Compound: ZrScCuB
Source: the Open Quantum Materials Database
Functional: GGA-PBE
Structure: relaxed

Lattice parameters (Å, degrees): 4.424 4.424 4.424 60.00 60.00 60.00
Fractional positions:
1 Zr 0.000 0.000 0.000
2 Sc 0.750 0.750 0.750
3 Cu 0.500 0.500 0.500
4 B 0.250 0.250 0.250

Calculated values
**Calculated volume**: 61.2 Å³ per cell
**Distance to the lowest polymorph of the same formula**: 0 meV/atom

No. 7
Compound: CuSiB4
Source: the Open Quantum Materials Database
Functional: GGA-PBE
Structure: relaxed

Lattice parameters (Å, degrees): 2.992 2.992 6.596 90.00 90.00 120.00
Fractional positions:
1 Cu 0.000 0.000 0.000
2 Si 0.000 0.000 0.500
3 B 0.333 0.667 0.258
4 B 0.333 0.667 0.742
5 B 0.667 0.333 0.258
6 B 0.667 0.333 0.742

Calculated values
**Calculated volume**: 51.1 Å³ per cell
**Distance to the lowest polymorph of the same formula**: 0 meV/atom

No. 8
Compound: CuSiB4
Source: the Open Quantum Materials Database
Functional: GGA-PBE
Structure: relaxed

Lattice parameters (Å, degrees): 4.424 4.424 4.424 140.21 107.60 85.94
Fractional positions:
1 Cu 0.000 0.000 0.000
2 Si 0.500 0.500 0.000
3 B 0.082 0.749 0.333
4 B 0.416 0.749 0.667
5 B 0.584 0.251 0.333
6 B 0.918 0.251 0.667

Calculated values
**Calculated volume**: 50.9 Å³ per cell
**Distance to the lowest polymorph of the same formula**: 4 meV/atom